(1)
Here is a relaxed Tm5IrPb2 crystal from Alexandria via LeMat-Bulk. Energies are from PBE.

Energy of formation = -0.60 eV per atom
Crystal system = orthorhombic
Uncorrected energy = -5.428 eV/atom
Volume = 27.1 A^3/atom

Lattice parameters (Å, degrees): 7.922 12.142 4.513 90.00 90.00 90.00
Element x y z (fractional)
Tm 0.000 0.000 0.000
Tm 0.144 0.301 0.000
Tm 0.183 0.568 0.500
Tm 0.317 0.068 0.500
Tm 0.356 0.801 0.000
Tm 0.500 0.500 0.000
Tm 0.644 0.199 0.000
Tm 0.683 0.932 0.500
Tm 0.817 0.432 0.500
Tm 0.856 0.699 0.000
Ir 0.000 0.500 0.000
Ir 0.500 0.000 0.000
Pb 0.069 0.827 0.500
Pb 0.431 0.327 0.500
Pb 0.569 0.673 0.500
Pb 0.931 0.173 0.500



(2)
Here is a relaxed Tm4IrPb2 crystal from Alexandria via LeMat-Bulk. Energies are from PBE.

Energy of formation = -0.49 eV per atom
Crystal system = monoclinic
Uncorrected energy = -5.368 eV/atom
Volume = 27.4 A^3/atom

Lattice parameters (Å, degrees): 7.244 6.463 8.554 90.00 106.82 90.00
Element x y z (fractional)
Tm 0.132 0.004 0.287
Tm 0.132 0.496 0.287
Tm 0.277 0.750 0.658
Tm 0.313 0.250 0.907
Tm 0.687 0.750 0.093
Tm 0.723 0.250 0.342
Tm 0.868 0.504 0.713
Tm 0.868 0.996 0.713
Ir 0.084 0.250 0.580
Ir 0.916 0.750 0.420
Pb 0.208 0.750 0.993
Pb 0.468 0.250 0.576
Pb 0.532 0.750 0.424
Pb 0.792 0.250 0.007



(3)
Here is a relaxed TmIrPb crystal from Alexandria via LeMat-Bulk. Energies are from PBE.

Energy of formation = -0.44 eV per atom
Crystal system = trigonal
Uncorrected energy = -6.117 eV/atom
Volume = 24.6 A^3/atom

Lattice parameters (Å, degrees): 7.664 7.664 7.664 37.18 37.18 37.18
Element x y z (fractional)
Tm 0.122 0.122 0.122
Tm 0.878 0.878 0.878
Ir 0.250 0.250 0.250
Ir 0.750 0.750 0.750
Pb 0.385 0.385 0.385
Pb 0.615 0.615 0.615